(i)
# Zn2Cd2Hg (meta-GGA SCAN, PBEsol geometry)
# Magnetic moment in μB per cell: 0.00
# Density of states at the Fermi level in states/eV per atom: 0.372
# V in Å³/f.u.: 98.63
data_Zn2Cd2Hg
_cell_length_a 3.676
_cell_length_b 3.676
_cell_length_c 14.597
_cell_angle_alpha 90.00
_cell_angle_beta 90.00
_cell_angle_gamma 90.00
_symmetry_space_group_name_H-M 'I 4/m m m'
_symmetry_Int_Tables_number 139
_symmetry_space_group_name_Hall '-I 4 2'
loop_
_atom_site_label
_atom_site_type_symbol
_atom_site_fract_x
_atom_site_fract_y
_atom_site_fract_z
Zn1 Zn 0.000 0.500 0.250
Cd1 Cd 0.000 0.000 0.104
Hg1 Hg 0.000 0.000 0.500


(ii)
# Zn2Cd2Hg (meta-GGA SCAN, PBEsol geometry)
# Magnetic moment in μB per cell: 0.00
# Density of states at the Fermi level in states/eV per atom: 0.323
# V in Å³/f.u.: 97.37
data_Zn2Cd2Hg
_cell_length_a 8.297
_cell_length_b 8.297
_cell_length_c 2.829
_cell_angle_alpha 90.00
_cell_angle_beta 90.00
_cell_angle_gamma 90.00
_symmetry_space_group_name_H-M 'P 4/m b m'
_symmetry_Int_Tables_number 127
_symmetry_space_group_name_Hall '-P 4 2ab'
loop_
_atom_site_label
_atom_site_type_symbol
_atom_site_fract_x
_atom_site_fract_y
_atom_site_fract_z
Zn1 Zn 0.114 0.386 0.000
Cd1 Cd 0.183 0.683 0.500
Hg1 Hg 0.000 0.000 0.500


It is (ii) that is most stable; the runner-up trails by 22 meV/atom.


(i)
# CdPbI2N (meta-GGA SCAN, PBEsol geometry)
# Magnetic moment in μB per cell: 1.64
# Density of states at the Fermi level in states/eV per atom: 0.991
# V in Å³/f.u.: 159.45
data_CdPbI2N
_cell_length_a 6.154
_cell_length_b 6.154
_cell_length_c 4.210
_cell_angle_alpha 90.00
_cell_angle_beta 90.00
_cell_angle_gamma 90.00
_symmetry_space_group_name_H-M 'P 4/m m m'
_symmetry_Int_Tables_number 123
_symmetry_space_group_name_Hall '-P 4 2'
loop_
_atom_site_label
_atom_site_type_symbol
_atom_site_fract_x
_atom_site_fract_y
_atom_site_fract_z
Cd1 Cd 0.000 0.000 0.000
Pb1 Pb 0.500 0.500 0.500
I1 I 0.000 0.500 0.500
N1 N 0.500 0.500 0.000


(ii)
# CdPbI2N (meta-GGA SCAN, PBEsol geometry)
# Magnetic moment in μB per cell: 1.39
# Density of states at the Fermi level in states/eV per atom: 0.406
# V in Å³/f.u.: 148.00
data_CdPbI2N
_cell_length_a 6.008
_cell_length_b 6.008
_cell_length_c 4.100
_cell_angle_alpha 90.00
_cell_angle_beta 90.00
_cell_angle_gamma 90.00
_symmetry_space_group_name_H-M 'P 4/m m m'
_symmetry_Int_Tables_number 123
_symmetry_space_group_name_Hall '-P 4 2'
loop_
_atom_site_label
_atom_site_type_symbol
_atom_site_fract_x
_atom_site_fract_y
_atom_site_fract_z
Cd1 Cd 0.000 0.000 0.000
Pb1 Pb 0.500 0.500 0.500
I1 I 0.000 0.500 0.000
N1 N 0.000 0.000 0.500


It is (ii) that is most stable; the runner-up trails by 257 meV/atom.


(i)
# CdSnI2N (meta-GGA SCAN, PBEsol geometry)
# Magnetic moment in μB per cell: 0.00
# Density of states at the Fermi level in states/eV per atom: 0.493
# V in Å³/f.u.: 139.49
data_CdSnI2N
_cell_length_a 6.007
_cell_length_b 6.007
_cell_length_c 3.866
_cell_angle_alpha 90.00
_cell_angle_beta 90.00
_cell_angle_gamma 90.00
_symmetry_space_group_name_H-M 'P 4/m m m'
_symmetry_Int_Tables_number 123
_symmetry_space_group_name_Hall '-P 4 2'
loop_
_atom_site_label
_atom_site_type_symbol
_atom_site_fract_x
_atom_site_fract_y
_atom_site_fract_z
Cd1 Cd 0.000 0.000 0.000
Sn1 Sn 0.500 0.500 0.500
I1 I 0.000 0.500 0.500
N1 N 0.500 0.500 0.000


(ii)
# CdSnI2N (meta-GGA SCAN, PBEsol geometry)
# Magnetic moment in μB per cell: 1.38
# Density of states at the Fermi level in states/eV per atom: 0.415
# V in Å³/f.u.: 145.93
data_CdSnI2N
_cell_length_a 5.970
_cell_length_b 5.970
_cell_length_c 4.094
_cell_angle_alpha 90.00
_cell_angle_beta 90.00
_cell_angle_gamma 90.00
_symmetry_space_group_name_H-M 'P 4/m m m'
_symmetry_Int_Tables_number 123
_symmetry_space_group_name_Hall '-P 4 2'
loop_
_atom_site_label
_atom_site_type_symbol
_atom_site_fract_x
_atom_site_fract_y
_atom_site_fract_z
Cd1 Cd 0.000 0.000 0.000
Sn1 Sn 0.500 0.500 0.500
I1 I 0.000 0.500 0.000
N1 N 0.000 0.000 0.500


It is (i) that is most stable; the runner-up trails by 83 meV/atom.


(i)
# CdWIN2 (meta-GGA SCAN, PBEsol geometry)
# Magnetic moment in μB per cell: 8.04
# Density of states at the Fermi level in states/eV per atom: 0.423
# V in Å³/f.u.: 118.06
data_CdWIN2
_cell_length_a 4.141
_cell_length_b 4.141
_cell_length_c 6.885
_cell_angle_alpha 90.00
_cell_angle_beta 90.00
_cell_angle_gamma 90.00
_symmetry_space_group_name_H-M 'P 4/m m m'
_symmetry_Int_Tables_number 123
_symmetry_space_group_name_Hall '-P 4 2'
loop_
_atom_site_label
_atom_site_type_symbol
_atom_site_fract_x
_atom_site_fract_y
_atom_site_fract_z
Cd1 Cd 0.000 0.000 0.000
W1 W 0.500 0.500 0.500
I1 I 0.000 0.000 0.500
N1 N 0.000 0.500 0.000


(ii)
# CdWIN2 (meta-GGA SCAN, PBEsol geometry)
# Magnetic moment in μB per cell: 0.02
# Density of states at the Fermi level in states/eV per atom: 0.386
# V in Å³/f.u.: 90.53
data_CdWIN2
_cell_length_a 3.987
_cell_length_b 3.987
_cell_length_c 5.694
_cell_angle_alpha 90.00
_cell_angle_beta 90.00
_cell_angle_gamma 90.00
_symmetry_space_group_name_H-M 'P 4/m m m'
_symmetry_Int_Tables_number 123
_symmetry_space_group_name_Hall '-P 4 2'
loop_
_atom_site_label
_atom_site_type_symbol
_atom_site_fract_x
_atom_site_fract_y
_atom_site_fract_z
Cd1 Cd 0.000 0.000 0.000
W1 W 0.500 0.500 0.500
I1 I 0.500 0.500 0.000
N1 N 0.000 0.500 0.500


It is (ii) that is most stable; the runner-up trails by 1927 meV/atom.


(i)
# CdOsIO2 (meta-GGA SCAN, PBEsol geometry)
# Magnetic moment in μB per cell: 0.00
# Density of states at the Fermi level in states/eV per atom: 0.370
# V in Å³/f.u.: 112.24
data_CdOsIO2
_cell_length_a 3.831
_cell_length_b 3.831
_cell_length_c 7.647
_cell_angle_alpha 90.00
_cell_angle_beta 90.00
_cell_angle_gamma 90.00
_symmetry_space_group_name_H-M 'P 4/m m m'
_symmetry_Int_Tables_number 123
_symmetry_space_group_name_Hall '-P 4 2'
loop_
_atom_site_label
_atom_site_type_symbol
_atom_site_fract_x
_atom_site_fract_y
_atom_site_fract_z
Cd1 Cd 0.000 0.000 0.000
Os1 Os 0.500 0.500 0.500
I1 I 0.500 0.500 0.000
O1 O 0.000 0.500 0.500


(ii)
# CdOsIO2 (meta-GGA SCAN, PBEsol geometry)
# Magnetic moment in μB per cell: 3.92
# Density of states at the Fermi level in states/eV per atom: 0.656
# V in Å³/f.u.: 98.48
data_CdOsIO2
_cell_length_a 4.011
_cell_length_b 4.011
_cell_length_c 6.121
_cell_angle_alpha 90.00
_cell_angle_beta 90.00
_cell_angle_gamma 90.00
_symmetry_space_group_name_H-M 'P 4/m m m'
_symmetry_Int_Tables_number 123
_symmetry_space_group_name_Hall '-P 4 2'
loop_
_atom_site_label
_atom_site_type_symbol
_atom_site_fract_x
_atom_site_fract_y
_atom_site_fract_z
Cd1 Cd 0.000 0.000 0.000
Os1 Os 0.500 0.500 0.500
I1 I 0.000 0.000 0.500
O1 O 0.000 0.500 0.000


It is (i) that is most stable; the runner-up trails by 1270 meV/atom.


(i)
# CdSeI3 (meta-GGA SCAN, PBEsol geometry)
# Magnetic moment in μB per cell: 3.04
# Density of states at the Fermi level in states/eV per atom: 0.615
# V in Å³/f.u.: 190.09
data_CdSeI3
_cell_length_a 5.750
_cell_length_b 5.750
_cell_length_c 5.750
_cell_angle_alpha 90.00
_cell_angle_beta 90.00
_cell_angle_gamma 90.00
_symmetry_space_group_name_H-M 'P m -3 m'
_symmetry_Int_Tables_number 221
_symmetry_space_group_name_Hall '-P 4 2 3'
loop_
_atom_site_label
_atom_site_type_symbol
_atom_site_fract_x
_atom_site_fract_y
_atom_site_fract_z
Cd1 Cd 0.000 0.000 0.000
Se1 Se 0.500 0.500 0.500
I1 I 0.000 0.000 0.500


(ii)
# CdSeI3 (meta-GGA SCAN, PBEsol geometry)
# Magnetic moment in μB per cell: 0.00
# Density of states at the Fermi level in states/eV per atom: 0.672
# V in Å³/f.u.: 178.72
data_CdSeI3
_cell_length_a 5.633
_cell_length_b 5.633
_cell_length_c 5.633
_cell_angle_alpha 90.00
_cell_angle_beta 90.00
_cell_angle_gamma 90.00
_symmetry_space_group_name_H-M 'P m -3 m'
_symmetry_Int_Tables_number 221
_symmetry_space_group_name_Hall '-P 4 2 3'
loop_
_atom_site_label
_atom_site_type_symbol
_atom_site_fract_x
_atom_site_fract_y
_atom_site_fract_z
Cd1 Cd 0.000 0.000 0.000
Se1 Se 0.500 0.500 0.500
I1 I 0.000 0.500 0.500


It is (ii) that is most stable; the runner-up trails by 86 meV/atom.